# 1
Material: LiTb6Tm
Method: DFT, PBE
State: relaxed

energy of formation from the pure elements: 0.151 eV/atom

The structure in CIF format:
```
data_LiTb6Tm
_chemical_formula_sum 'Li3 Tb18 Tm3'
_cell_length_a 9.3319
_cell_length_b 9.3319
_cell_length_c 9.6327
_cell_angle_alpha 90.00
_cell_angle_beta 90.00
_cell_angle_gamma 120.00
_symmetry_space_group_name_H-M 'R -3'
_symmetry_Int_Tables_number 148
_symmetry_space_group_name_Hall '-R 3'
loop_
_atom_site_label
_atom_site_type_symbol
_atom_site_fract_x
_atom_site_fract_y
_atom_site_fract_z
Li1 Li 0.0000 0.0000 0.0000
Tb1 Tb 0.0314 0.2557 0.2066
Tm1 Tm 0.0000 0.0000 0.5000
```


# 2
Material: Sb2IrAu
Method: DFT, PBE
State: relaxed

formation energy from raw total energies: 238 meV per atom
offset from the most stable computed form: 0.98 eV per formula unit

The structure in CIF format:
```
data_Sb2IrAu
_chemical_formula_sum 'Sb8 Ir4 Au4'
_cell_length_a 6.871
_cell_length_b 6.871
_cell_length_c 6.871
_cell_angle_alpha 90.00
_cell_angle_beta 90.00
_cell_angle_gamma 90.00
_symmetry_space_group_name_H-M 'F m -3 m'
_symmetry_Int_Tables_number 225
_symmetry_space_group_name_Hall '-F 4 2 3'
loop_
_atom_site_label
_atom_site_type_symbol
_atom_site_fract_x
_atom_site_fract_y
_atom_site_fract_z
Sb1 Sb 0.250 0.250 0.250
Ir1 Ir 0.000 0.000 0.000
Au1 Au 0.000 0.000 0.500
```


# 3
Material: DyErHg4
Method: DFT, PBE
State: relaxed

energy of formation from the pure elements: -0.336 eV/atom
offset from the most stable computed form: 0.30 eV per formula unit

The structure in CIF format:
```
data_DyErHg4
_chemical_formula_sum 'Dy2 Er2 Hg8'
_cell_length_a 11.862
_cell_length_b 3.602
_cell_length_c 7.257
_cell_angle_alpha 90.00
_cell_angle_beta 107.79
_cell_angle_gamma 90.00
_symmetry_space_group_name_H-M 'C 1 2/m 1'
_symmetry_Int_Tables_number 12
_symmetry_space_group_name_Hall '-C 2y'
loop_
_atom_site_label
_atom_site_type_symbol
_atom_site_fract_x
_atom_site_fract_y
_atom_site_fract_z
Dy1 Dy 0.000 0.000 0.000
Er1 Er 0.000 0.000 0.500
Hg1 Hg 0.166 0.500 0.336
Hg2 Hg 0.167 0.500 0.832
```


# 4
Material: H3Os
Method: DFT, PBE
State: relaxed

offset from the most stable computed form: 0.34 eV per formula unit

The structure in CIF format:
```
data_H3Os
_chemical_formula_sum 'H3 Os1'
_cell_length_a 2.8822
_cell_length_b 2.8822
_cell_length_c 3.6020
_cell_angle_alpha 90.00
_cell_angle_beta 90.00
_cell_angle_gamma 120.00
_symmetry_space_group_name_H-M 'P -3 m 1'
_symmetry_Int_Tables_number 164
_symmetry_space_group_name_Hall '-P 3 2"'
loop_
_atom_site_label
_atom_site_type_symbol
_atom_site_fract_x
_atom_site_fract_y
_atom_site_fract_z
H1 H 0.0000 0.0000 0.0000
H2 H 0.3333 0.6667 0.2735
Os1 Os 0.0000 0.0000 0.5000
```


# 5
Material: PmY2ScSb4
Method: DFT, PBE
State: relaxed

formation energy from raw total energies: -1092 meV per atom

The structure in CIF format:
```
data_PmY2ScSb4
_chemical_formula_sum 'Pm1 Y2 Sc1 Sb4'
_cell_length_a 7.556
_cell_length_b 4.370
_cell_length_c 7.566
_cell_angle_alpha 90.00
_cell_angle_beta 109.49
_cell_angle_gamma 90.00
_symmetry_space_group_name_H-M 'P 1 2/m 1'
_symmetry_Int_Tables_number 10
_symmetry_space_group_name_Hall '-P 2y'
loop_
_atom_site_label
_atom_site_type_symbol
_atom_site_fract_x
_atom_site_fract_y
_atom_site_fract_z
Pm1 Pm 0.000 0.000 0.000
Y1 Y 0.000 0.500 0.500
Y2 Y 0.500 0.000 0.500
Sc1 Sc 0.500 0.500 0.000
Sb1 Sb 0.259 0.500 0.249
Sb2 Sb 0.262 0.000 0.758
```


# 6
Material: Co2SiH2
Method: DFT, PBE
State: relaxed

offset from the most stable computed form: 0.00 eV per formula unit

The structure in CIF format:
```
data_Co2SiH2
_chemical_formula_sum 'Co2 Si1 H2'
_cell_length_a 2.723
_cell_length_b 2.723
_cell_length_c 5.117
_cell_angle_alpha 90.00
_cell_angle_beta 90.00
_cell_angle_gamma 90.00
_symmetry_space_group_name_H-M 'P 4/m m m'
_symmetry_Int_Tables_number 123
_symmetry_space_group_name_Hall '-P 4 2'
loop_
_atom_site_label
_atom_site_type_symbol
_atom_site_fract_x
_atom_site_fract_y
_atom_site_fract_z
Co1 Co 0.000 0.000 0.240
Si1 Si 0.500 0.500 0.500
H1 H 0.000 0.500 0.000
```


# 7
Material: TbPtPb2
Method: DFT, PBE
State: relaxed

energy of formation from the pure elements: 0.008 eV/atom

The structure in CIF format:
```
data_TbPtPb2
_chemical_formula_sum 'Tb3 Pt3 Pb6'
_cell_length_a 3.5944
_cell_length_b 3.5944
_cell_length_c 30.7229
_cell_angle_alpha 90.00
_cell_angle_beta 90.00
_cell_angle_gamma 120.00
_symmetry_space_group_name_H-M 'R -3 m'
_symmetry_Int_Tables_number 166
_symmetry_space_group_name_Hall '-R 3 2"'
loop_
_atom_site_label
_atom_site_type_symbol
_atom_site_fract_x
_atom_site_fract_y
_atom_site_fract_z
Tb1 Tb 0.0000 0.0000 0.0000
Pt1 Pt 0.0000 0.0000 0.5000
Pb1 Pb 0.0000 0.0000 0.1035
```


# 8
Material: TbCdAg
Method: DFT, PBE
State: relaxed

energy of formation from the pure elements: 0.364 eV/atom

The structure in CIF format:
```
data_TbCdAg
_chemical_formula_sum 'Tb2 Cd2 Ag2'
_cell_length_a 3.171
_cell_length_b 3.171
_cell_length_c 15.919
_cell_angle_alpha 90.00
_cell_angle_beta 90.00
_cell_angle_gamma 90.00
_symmetry_space_group_name_H-M 'I 4 m m'
_symmetry_Int_Tables_number 107
_symmetry_space_group_name_Hall 'I 4 -2'
loop_
_atom_site_label
_atom_site_type_symbol
_atom_site_fract_x
_atom_site_fract_y
_atom_site_fract_z
Tb1 Tb 0.000 0.000 0.000
Cd1 Cd 0.000 0.000 0.805
Ag1 Ag 0.000 0.000 0.183
```


# 9
Material: TbHo2TcN4
Method: DFT, PBE
State: relaxed

formation energy from raw total energies: -1111 meV per atom

The structure in CIF format:
```
data_TbHo2TcN4
_chemical_formula_sum 'Tb4 Ho8 Tc4 N16'
_cell_length_a 3.405
_cell_length_b 11.562
_cell_length_c 11.544
_cell_angle_alpha 90.00
_cell_angle_beta 90.00
_cell_angle_gamma 90.00
_symmetry_space_group_name_H-M 'C m c m'
_symmetry_Int_Tables_number 63
_symmetry_space_group_name_Hall '-C 2c 2'
loop_
_atom_site_label
_atom_site_type_symbol
_atom_site_fract_x
_atom_site_fract_y
_atom_site_fract_z
Tb1 Tb 0.000 0.131 0.250
Ho1 Ho 0.000 0.368 0.040
Tc1 Tc 0.000 0.134 0.750
N1 N 0.000 0.000 0.000
N2 N 0.000 0.264 0.630
N3 N 0.000 0.450 0.250
```


# 10
Material: Pu4InSi
Method: DFT, PBE
State: relaxed

formation energy from raw total energies: 4 meV per atom

The structure in CIF format:
```
data_Pu4InSi
_chemical_formula_sum 'Pu8 In2 Si2'
_cell_length_a 4.959
_cell_length_b 6.348
_cell_length_c 9.003
_cell_angle_alpha 90.00
_cell_angle_beta 90.00
_cell_angle_gamma 90.00
_symmetry_space_group_name_H-M 'I m m m'
_symmetry_Int_Tables_number 71
_symmetry_space_group_name_Hall '-I 2 2'
loop_
_atom_site_label
_atom_site_type_symbol
_atom_site_fract_x
_atom_site_fract_y
_atom_site_fract_z
Pu1 Pu 0.000 0.238 0.163
In1 In 0.000 0.000 0.500
Si1 Si 0.000 0.500 0.500
```


# 11
Material: TiGa3Pt12
Method: DFT, PBE
State: relaxed

energy of formation from the pure elements: -0.577 eV/atom

The structure in CIF format:
```
data_TiGa3Pt12
_chemical_formula_sum 'Ti1 Ga3 Pt12'
_cell_length_a 3.952
_cell_length_b 3.952
_cell_length_c 15.732
_cell_angle_alpha 90.00
_cell_angle_beta 90.00
_cell_angle_gamma 90.00
_symmetry_space_group_name_H-M 'P 4/m m m'
_symmetry_Int_Tables_number 123
_symmetry_space_group_name_Hall '-P 4 2'
loop_
_atom_site_label
_atom_site_type_symbol
_atom_site_fract_x
_atom_site_fract_y
_atom_site_fract_z
Ti1 Ti 0.000 0.000 0.000
Ga1 Ga 0.000 0.000 0.254
Ga2 Ga 0.000 0.000 0.500
Pt1 Pt 0.000 0.500 0.122
Pt2 Pt 0.000 0.500 0.375
Pt3 Pt 0.500 0.500 0.000
Pt4 Pt 0.500 0.500 0.249
Pt5 Pt 0.500 0.500 0.500
```


N(E_F) / states/eV/cell: 35.723, 6.245, 7.382, 1.128, 1.187, 1.035, 10.610, 5.687, 6.287, 35.726, 12.541